1.
# KCo2Pt, optimized geometry, DFT PBE-GGA
# Energy above the most stable polymorph in this dataset: 641 meV/atom
# Formation energy: 1.0166 eV per atom
# Total magnetization: 3.92 μB/f.u.
data_KCo2Pt
_chemical_formula_sum 'K4 Co8 Pt4'
_symmetry_space_group_name_H-M 'F -4 3 m'
_symmetry_Int_Tables_number 216
_symmetry_space_group_name_Hall 'F -4 2 3'
_cell_length_a 6.4557
_cell_length_b 6.4557
_cell_length_c 6.4557
_cell_angle_alpha 90.00
_cell_angle_beta 90.00
_cell_angle_gamma 90.00
loop_
_atom_site_label
_atom_site_type_symbol
_atom_site_fract_x
_atom_site_fract_y
_atom_site_fract_z
K1 K 0.0000 0.0000 0.0000
Co1 Co 0.0000 0.0000 0.5000
Co2 Co 0.2500 0.2500 0.7500
Pt1 Pt 0.2500 0.2500 0.2500

2.
# KCo2Pt, optimized geometry, DFT PBE-GGA
# Energy above the most stable polymorph in this dataset: 309 meV/atom
# Formation energy: 0.6843 eV per atom
# Total magnetization: 3.98 μB/f.u.
data_KCo2Pt
_chemical_formula_sum 'K2 Co4 Pt2'
_symmetry_space_group_name_H-M 'I m m m'
_symmetry_Int_Tables_number 71
_symmetry_space_group_name_Hall '-I 2 2'
_cell_length_a 2.6681
_cell_length_b 5.2871
_cell_length_c 10.4754
_cell_angle_alpha 90.00
_cell_angle_beta 90.00
_cell_angle_gamma 90.00
loop_
_atom_site_label
_atom_site_type_symbol
_atom_site_fract_x
_atom_site_fract_y
_atom_site_fract_z
K1 K 0.0000 0.0000 0.0000
Co1 Co 0.0000 0.5000 0.2077
Pt1 Pt 0.0000 0.0000 0.5000

3.
# KCo2Pt, optimized geometry, DFT PBE-GGA
# Energy above the most stable polymorph in this dataset: 553 meV/atom
# Formation energy: 0.9289 eV per atom
# Total magnetization: 4.06 μB/f.u.
data_KCo2Pt
_chemical_formula_sum 'K4 Co8 Pt4'
_symmetry_space_group_name_H-M 'F m -3 m'
_symmetry_Int_Tables_number 225
_symmetry_space_group_name_Hall '-F 4 2 3'
_cell_length_a 6.4044
_cell_length_b 6.4044
_cell_length_c 6.4044
_cell_angle_alpha 90.00
_cell_angle_beta 90.00
_cell_angle_gamma 90.00
loop_
_atom_site_label
_atom_site_type_symbol
_atom_site_fract_x
_atom_site_fract_y
_atom_site_fract_z
K1 K 0.0000 0.0000 0.0000
Co1 Co 0.2500 0.2500 0.2500
Pt1 Pt 0.0000 0.0000 0.5000

4.
# KCo2Pt, optimized geometry, DFT PBE-GGA
# Energy above the most stable polymorph in this dataset: 320 meV/atom
# Formation energy: 0.6961 eV per atom
# Total magnetization: 4.29 μB/f.u.
data_KCo2Pt
_chemical_formula_sum 'K4 Co8 Pt4'
_symmetry_space_group_name_H-M 'I 41/a m d'
_symmetry_Int_Tables_number 141
_cell_length_a 4.7594
_cell_length_b 4.7594
_cell_length_c 17.0293
_cell_angle_alpha 90.00
_cell_angle_beta 90.00
_cell_angle_gamma 90.00
loop_
_symmetry_equiv_pos_as_xyz
'x,y,z'
'-x,-y,-z'
'-y+1/4,x+3/4,z+1/4'
'y+1/4,-x+3/4,-z+1/4'
'-x+1/2,-y,z+1/2'
'x+1/2,y,-z+1/2'
'y+1/4,-x+1/4,z+3/4'
'-y+1/4,x+1/4,-z+3/4'
'x,-y,-z'
'-x,y,z'
'-y+1/4,-x+1/4,-z+3/4'
'y+1/4,x+1/4,z+3/4'
'-x+1/2,y,-z+1/2'
'x+1/2,-y,z+1/2'
'y+1/4,x+3/4,-z+1/4'
'-y+1/4,-x+3/4,z+1/4'
'x+1/2,y+1/2,z+1/2'
'-x+1/2,-y+1/2,-z+1/2'
'-y+3/4,x+1/4,z+3/4'
'y+3/4,-x+1/4,-z+3/4'
'-x,-y+1/2,z'
'x,y+1/2,-z'
'y+3/4,-x+3/4,z+1/4'
'-y+3/4,x+3/4,-z+1/4'
'x+1/2,-y+1/2,-z+1/2'
'-x+1/2,y+1/2,z+1/2'
'-y+3/4,-x+3/4,-z+1/4'
'y+3/4,x+3/4,z+1/4'
'-x,y+1/2,-z'
'x,-y+1/2,z'
'y+3/4,x+1/4,-z+3/4'
'-y+3/4,-x+1/4,z+3/4'
loop_
_atom_site_label
_atom_site_type_symbol
_atom_site_fract_x
_atom_site_fract_y
_atom_site_fract_z
K1 K 0.0000 0.2500 0.3750
Co1 Co 0.0000 0.0000 0.0000
Pt1 Pt 0.0000 0.2500 0.8750

5.
# KCo2Pt, optimized geometry, DFT PBE-GGA
# Energy above the most stable polymorph in this dataset: 467 meV/atom
# Formation energy: 0.8425 eV per atom
# Total magnetization: 3.47 μB/f.u.
data_KCo2Pt
_chemical_formula_sum 'K1 Co2 Pt1'
_symmetry_space_group_name_H-M 'P 4/m m m'
_symmetry_Int_Tables_number 123
_symmetry_space_group_name_Hall '-P 4 2'
_cell_length_a 4.8803
_cell_length_b 4.8803
_cell_length_c 2.6974
_cell_angle_alpha 90.00
_cell_angle_beta 90.00
_cell_angle_gamma 90.00
loop_
_atom_site_label
_atom_site_type_symbol
_atom_site_fract_x
_atom_site_fract_y
_atom_site_fract_z
K1 K 0.0000 0.0000 0.0000
Co1 Co 0.0000 0.5000 0.5000
Pt1 Pt 0.5000 0.5000 0.0000

6.
# KCoPtSe2, optimized geometry, DFT PBE-GGA
# Total magnetization: 2.42 μB/f.u.
# ΔE_f (raw): 1859 meV per atom
data_KCoPtSe2
_chemical_formula_sum 'K1 Co1 Pt1 Se2'
_symmetry_space_group_name_H-M 'P 4/m m m'
_symmetry_Int_Tables_number 123
_symmetry_space_group_name_Hall '-P 4 2'
_cell_length_a 5.4414
_cell_length_b 5.4414
_cell_length_c 4.4162
_cell_angle_alpha 90.00
_cell_angle_beta 90.00
_cell_angle_gamma 90.00
loop_
_atom_site_label
_atom_site_type_symbol
_atom_site_fract_x
_atom_site_fract_y
_atom_site_fract_z
K1 K 0.0000 0.0000 0.0000
Co1 Co 0.0000 0.0000 0.5000
Pt1 Pt 0.5000 0.5000 0.5000
Se1 Se 0.0000 0.5000 0.0000

7.
# K2CoSiPt, optimized geometry, DFT PBE-GGA
# Total magnetization: 3.08 μB/f.u.
# ΔE_f (raw): 996 meV per atom
data_K2CoSiPt
_chemical_formula_sum 'K2 Co1 Si1 Pt1'
_symmetry_space_group_name_H-M 'P 4/m m m'
_symmetry_Int_Tables_number 123
_symmetry_space_group_name_Hall '-P 4 2'
_cell_length_a 6.1090
_cell_length_b 6.1090
_cell_length_c 4.6172
_cell_angle_alpha 90.00
_cell_angle_beta 90.00
_cell_angle_gamma 90.00
loop_
_atom_site_label
_atom_site_type_symbol
_atom_site_fract_x
_atom_site_fract_y
_atom_site_fract_z
K1 K 0.0000 0.5000 0.0000
Co1 Co 0.0000 0.0000 0.5000
Si1 Si 0.5000 0.5000 0.5000
Pt1 Pt 0.0000 0.0000 0.0000

8.
# K2TaCoPt, optimized geometry, DFT PBE-GGA
# Formation energy: 1.7818 eV per atom
# Total magnetization: 3.66 μB/f.u.
data_K2TaCoPt
_chemical_formula_sum 'K2 Ta1 Co1 Pt1'
_symmetry_space_group_name_H-M 'P 4/m m m'
_symmetry_Int_Tables_number 123
_symmetry_space_group_name_Hall '-P 4 2'
_cell_length_a 5.8168
_cell_length_b 5.8168
_cell_length_c 4.5408
_cell_angle_alpha 90.00
_cell_angle_beta 90.00
_cell_angle_gamma 90.00
loop_
_atom_site_label
_atom_site_type_symbol
_atom_site_fract_x
_atom_site_fract_y
_atom_site_fract_z
K1 K 0.0000 0.5000 0.0000
Ta1 Ta 0.0000 0.0000 0.5000
Co1 Co 0.5000 0.5000 0.0000
Pt1 Pt 0.5000 0.5000 0.5000

9.
# KCoTcPt2, optimized geometry, DFT PBE-GGA
# Formation energy: 2.4984 eV per atom
# Total magnetization: 3.90 μB/f.u.
data_KCoTcPt2
_chemical_formula_sum 'K1 Co1 Tc1 Pt2'
_symmetry_space_group_name_H-M 'P 4/m m m'
_symmetry_Int_Tables_number 123
_symmetry_space_group_name_Hall '-P 4 2'
_cell_length_a 4.9825
_cell_length_b 4.9825
_cell_length_c 4.1824
_cell_angle_alpha 90.00
_cell_angle_beta 90.00
_cell_angle_gamma 90.00
loop_
_atom_site_label
_atom_site_type_symbol
_atom_site_fract_x
_atom_site_fract_y
_atom_site_fract_z
K1 K 0.0000 0.0000 0.0000
Co1 Co 0.0000 0.0000 0.5000
Tc1 Tc 0.5000 0.5000 0.5000
Pt1 Pt 0.0000 0.5000 0.0000

10.
# K3Pu2CoS6, optimized geometry, DFT PBE-GGA
# Total magnetization: 11.09 μB/f.u.
# ΔE_f (raw): -1184 meV per atom
data_K3Pu2CoS6
_chemical_formula_sum 'K6 Pu4 Co2 S12'
_symmetry_space_group_name_H-M 'C 1 2/m 1'
_symmetry_Int_Tables_number 12
_symmetry_space_group_name_Hall '-C 2y'
_cell_length_a 6.8252
_cell_length_b 11.8240
_cell_length_c 7.6509
_cell_angle_alpha 90.00
_cell_angle_beta 107.32
_cell_angle_gamma 90.00
loop_
_atom_site_label
_atom_site_type_symbol
_atom_site_fract_x
_atom_site_fract_y
_atom_site_fract_z
K1 K 0.0000 0.0000 0.0000
K2 K 0.0000 0.3331 0.0000
Pu1 Pu 0.0000 0.1666 0.5000
Co1 Co 0.0000 0.5000 0.5000
S1 S 0.2242 0.3401 0.6928
S2 S 0.2445 0.0000 0.6928

11.
# K3Pu3CoS8, optimized geometry, DFT PBE-GGA
# Total magnetization: 9.95 μB/f.u.
# ΔE_f (raw): -1256 meV per atom
data_K3Pu3CoS8
_chemical_formula_sum 'K9 Pu9 Co3 S24'
_symmetry_space_group_name_H-M 'R -3 m'
_symmetry_Int_Tables_number 166
_symmetry_space_group_name_Hall '-R 3 2"'
_cell_length_a 7.8535
_cell_length_b 7.8535
_cell_length_c 22.3916
_cell_angle_alpha 90.00
_cell_angle_beta 90.00
_cell_angle_gamma 120.00
loop_
_atom_site_label
_atom_site_type_symbol
_atom_site_fract_x
_atom_site_fract_y
_atom_site_fract_z
K1 K 0.0000 0.5000 0.0000
Pu1 Pu 0.0000 0.5000 0.5000
Co1 Co 0.0000 0.0000 0.5000
S1 S 0.0000 0.0000 0.2340
S2 S 0.0131 0.5065 0.2287

12.
# K3Pu3CoSe8, optimized geometry, DFT PBE-GGA
# Total magnetization: 13.98 μB/f.u.
# ΔE_f (raw): -1146 meV per atom
data_K3Pu3CoSe8
_chemical_formula_sum 'K9 Pu9 Co3 Se24'
_symmetry_space_group_name_H-M 'R -3 m'
_symmetry_Int_Tables_number 166
_symmetry_space_group_name_Hall '-R 3 2"'
_cell_length_a 8.1780
_cell_length_b 8.1780
_cell_length_c 23.4531
_cell_angle_alpha 90.00
_cell_angle_beta 90.00
_cell_angle_gamma 120.00
loop_
_atom_site_label
_atom_site_type_symbol
_atom_site_fract_x
_atom_site_fract_y
_atom_site_fract_z
K1 K 0.0000 0.5000 0.0000
Pu1 Pu 0.0000 0.5000 0.5000
Co1 Co 0.0000 0.0000 0.5000
Se1 Se 0.0000 0.0000 0.2360
Se2 Se 0.0361 0.5181 0.2273

13.
# K4Pu3CoSe8, optimized geometry, DFT PBE-GGA
# Total magnetization: 11.00 μB/f.u.
# ΔE_f (raw): -1182 meV per atom
data_K4Pu3CoSe8
_chemical_formula_sum 'K12 Pu9 Co3 Se24'
_symmetry_space_group_name_H-M 'R -3 m'
_symmetry_Int_Tables_number 166
_symmetry_space_group_name_Hall '-R 3 2"'
_cell_length_a 8.3256
_cell_length_b 8.3256
_cell_length_c 22.9082
_cell_angle_alpha 90.00
_cell_angle_beta 90.00
_cell_angle_gamma 120.00
loop_
_atom_site_label
_atom_site_type_symbol
_atom_site_fract_x
_atom_site_fract_y
_atom_site_fract_z
K1 K 0.0000 0.0000 0.0000
K2 K 0.0000 0.5000 0.0000
Pu1 Pu 0.0000 0.5000 0.5000
Co1 Co 0.0000 0.0000 0.5000
Se1 Se 0.0000 0.0000 0.2359
Se2 Se 0.0136 0.5068 0.2320

14.
# KPuCoSe3, optimized geometry, DFT PBE-GGA
# Total magnetization: 2.90 μB/f.u.
# ΔE_f (raw): -1006 meV per atom
data_KPuCoSe3
_chemical_formula_sum 'K2 Pu2 Co2 Se6'
_symmetry_space_group_name_H-M 'P 1 21/m 1'
_symmetry_Int_Tables_number 11
_symmetry_space_group_name_Hall '-P 2yb'
_cell_length_a 9.1599
_cell_length_b 4.0464
_cell_length_c 9.2775
_cell_angle_alpha 90.00
_cell_angle_beta 101.80
_cell_angle_gamma 90.00
loop_
_atom_site_label
_atom_site_type_symbol
_atom_site_fract_x
_atom_site_fract_y
_atom_site_fract_z
K1 K 0.2171 0.2500 0.1574
Pu1 Pu 0.1629 0.2500 0.6595
Co1 Co 0.4191 0.7500 0.5372
Se1 Se 0.1552 0.7500 0.4395
Se2 Se 0.1633 0.7500 0.8673
Se3 Se 0.4809 0.2500 0.6757

15.
# KRb2Co, optimized geometry, DFT PBE-GGA
# Formation energy: 0.8443 eV per atom
# Total magnetization: 1.82 μB/f.u.
data_KRb2Co
_chemical_formula_sum 'K4 Rb8 Co4'
_symmetry_space_group_name_H-M 'F m -3 m'
_symmetry_Int_Tables_number 225
_symmetry_space_group_name_Hall '-F 4 2 3'
_cell_length_a 9.2693
_cell_length_b 9.2693
_cell_length_c 9.2693
_cell_angle_alpha 90.00
_cell_angle_beta 90.00
_cell_angle_gamma 90.00
loop_
_atom_site_label
_atom_site_type_symbol
_atom_site_fract_x
_atom_site_fract_y
_atom_site_fract_z
K1 K 0.0000 0.0000 0.0000
Rb1 Rb 0.2500 0.2500 0.2500
Co1 Co 0.0000 0.0000 0.5000

16.
# KRbCo3, optimized geometry, DFT PBE-GGA
# Energy above the most stable polymorph in this dataset: 104 meV/atom
# Formation energy: 2.2595 eV per atom
# Total magnetization: 7.00 μB/f.u.
data_KRbCo3
_chemical_formula_sum 'K1 Rb1 Co3'
_symmetry_space_group_name_H-M 'P m -3 m'
_symmetry_Int_Tables_number 221
_symmetry_space_group_name_Hall '-P 4 2 3'
_cell_length_a 6.0221
_cell_length_b 6.0221
_cell_length_c 6.0221
_cell_angle_alpha 90.00
_cell_angle_beta 90.00
_cell_angle_gamma 90.00
loop_
_atom_site_label
_atom_site_type_symbol
_atom_site_fract_x
_atom_site_fract_y
_atom_site_fract_z
K1 K 0.0000 0.0000 0.0000
Rb1 Rb 0.5000 0.5000 0.5000
Co1 Co 0.0000 0.5000 0.5000

17.
# K2RbCo, optimized geometry, DFT PBE-GGA
# Formation energy: 0.8307 eV per atom
# Total magnetization: 1.72 μB/f.u.
data_K2RbCo
_chemical_formula_sum 'K8 Rb4 Co4'
_symmetry_space_group_name_H-M 'F m -3 m'
_symmetry_Int_Tables_number 225
_symmetry_space_group_name_Hall '-F 4 2 3'
_cell_length_a 9.0161
_cell_length_b 9.0161
_cell_length_c 9.0161
_cell_angle_alpha 90.00
_cell_angle_beta 90.00
_cell_angle_gamma 90.00
loop_
_atom_site_label
_atom_site_type_symbol
_atom_site_fract_x
_atom_site_fract_y
_atom_site_fract_z
K1 K 0.2500 0.2500 0.2500
Rb1 Rb 0.0000 0.0000 0.0000
Co1 Co 0.0000 0.0000 0.5000

18.
# KRbCo3, optimized geometry, DFT PBE-GGA
# Energy above the most stable polymorph in this dataset: 0 meV/atom
# Formation energy: 2.1556 eV per atom
# Total magnetization: 7.00 μB/f.u.
data_KRbCo3
_chemical_formula_sum 'K1 Rb1 Co3'
_symmetry_space_group_name_H-M 'P m -3 m'
_symmetry_Int_Tables_number 221
_symmetry_space_group_name_Hall '-P 4 2 3'
_cell_length_a 5.8832
_cell_length_b 5.8832
_cell_length_c 5.8832
_cell_angle_alpha 90.00
_cell_angle_beta 90.00
_cell_angle_gamma 90.00
loop_
_atom_site_label
_atom_site_type_symbol
_atom_site_fract_x
_atom_site_fract_y
_atom_site_fract_z
K1 K 0.0000 0.0000 0.0000
Rb1 Rb 0.5000 0.5000 0.5000
Co1 Co 0.0000 0.0000 0.5000

19.
# K3RbCo, optimized geometry, DFT PBE-GGA
# Energy above the most stable polymorph in this dataset: 509 meV/atom
# Formation energy: 1.0960 eV per atom
# Total magnetization: 2.20 μB/f.u.
data_K3RbCo
_chemical_formula_sum 'K3 Rb1 Co1'
_symmetry_space_group_name_H-M 'P m -3 m'
_symmetry_Int_Tables_number 221
_symmetry_space_group_name_Hall '-P 4 2 3'
_cell_length_a 7.5647
_cell_length_b 7.5647
_cell_length_c 7.5647
_cell_angle_alpha 90.00
_cell_angle_beta 90.00
_cell_angle_gamma 90.00
loop_
_atom_site_label
_atom_site_type_symbol
_atom_site_fract_x
_atom_site_fract_y
_atom_site_fract_z
K1 K 0.0000 0.0000 0.5000
Rb1 Rb 0.0000 0.0000 0.0000
Co1 Co 0.5000 0.5000 0.5000

20.
# K3RbCo, optimized geometry, DFT PBE-GGA
# Energy above the most stable polymorph in this dataset: 0 meV/atom
# Formation energy: 0.5866 eV per atom
# Total magnetization: 1.57 μB/f.u.
data_K3RbCo
_chemical_formula_sum 'K3 Rb1 Co1'
_symmetry_space_group_name_H-M 'P m -3 m'
_symmetry_Int_Tables_number 221
_symmetry_space_group_name_Hall '-P 4 2 3'
_cell_length_a 6.7110
_cell_length_b 6.7110
_cell_length_c 6.7110
_cell_angle_alpha 90.00
_cell_angle_beta 90.00
_cell_angle_gamma 90.00
loop_
_atom_site_label
_atom_site_type_symbol
_atom_site_fract_x
_atom_site_fract_y
_atom_site_fract_z
K1 K 0.0000 0.0000 0.5000
Rb1 Rb 0.5000 0.5000 0.5000
Co1 Co 0.0000 0.0000 0.0000

Taking the records one at a time from the top gives N(E_F) values of 1.303 1.140 2.686 2.271 1.237 1.615 2.293 2.349 1.528 1.518 2.078 1.980 2.141 1.881 1.418 1.166 2.360 0.911 1.374 1.324 states/eV per atom.